[1]
VASP calculation (PBE) on an optimized crystal structure of Be2PbSe.

Cell: 4.606 3.438 5.141 Å, 90.00 96.16 90.00°
Space group P2/m (No. 10)
One atom of each set of equivalent atoms:
Be: 0.060 0.000 0.205 x2
Pb: 0.500 0.500 0.000 x1
Se: 0.000 0.500 0.500 x1

Summary:
E_tot = -3.410 eV/atom
D(E_F) = 0.2774 states/eV per atom
Formation energy without anion corrections = 0.25 eV/atom
Energy relative to the lowest polymorph listed for this composition = 377.6 meV per atom

***

[2]
VASP calculation (PBE) on an optimized crystal structure of BePbSe3.

Cell: 4.759 4.759 4.759 Å, 90.00 90.00 90.00°
Space group Pm-3m (No. 221)
One atom of each set of equivalent atoms:
Be: 0.000 0.000 0.000 x1
Pb: 0.500 0.500 0.500 x1
Se: 0.000 0.000 0.500 x3

Summary:
E_tot = -3.649 eV/atom
D(E_F) = 0.5945 states/eV per atom
Formation energy without anion corrections = -0.07 eV/atom
Energy relative to the lowest polymorph listed for this composition = 0.0 meV per atom

***

[3]
VASP calculation (PBE) on an optimized crystal structure of BePb2Se.

Cell: 4.0823 4.0823 20.4347 Å, 90.00 90.00 120.00°
Space group R-3m (No. 166, hexagonal axes)
One atom of each set of equivalent atoms:
Be: 0.0000 0.0000 0.0000 x3
Pb: 0.0000 0.0000 0.2631 x6
Se: 0.0000 0.0000 0.5000 x3

Summary:
E_tot = -3.422 eV/atom
D(E_F) = 0.3402 states/eV per atom
Formation energy without anion corrections = 0.24 eV/atom
Energy relative to the lowest polymorph listed for this composition = 233.0 meV per atom

***

[4]
VASP calculation (PBE) on an optimized crystal structure of Be2PbSe.

Cell: 5.882 7.194 3.431 Å, 90.00 90.00 90.00°
Space group Cmmm (No. 65)
One atom of each set of equivalent atoms:
Be: 0.250 0.250 0.000 x4
Pb: 0.000 0.000 0.500 x2
Se: 0.000 0.500 0.500 x2

Summary:
E_tot = -2.940 eV/atom
D(E_F) = 0.4466 states/eV per atom
Formation energy without anion corrections = 0.72 eV/atom
Energy relative to the lowest polymorph listed for this composition = 847.8 meV per atom

***

[5]
VASP calculation (PBE) on an optimized crystal structure of Be2PbSe.

Cell: 15.624 3.445 3.447 Å, 90.00 90.46 90.00°
Space group Cm (No. 8)
One atom of each set of equivalent atoms:
Be: 0.000 0.000 0.000 x2
Be: 0.000 0.500 0.500 x2
Pb: 0.142 0.000 0.505 x2
Se: 0.410 0.000 0.997 x2

Summary:
E_tot = -3.788 eV/atom
D(E_F) = 0.1877 states/eV per atom
Formation energy without anion corrections = -0.13 eV/atom
Energy relative to the lowest polymorph listed for this composition = 0.0 meV per atom

***

[6]
VASP calculation (PBE) on an optimized crystal structure of BePb2Se.

Cell: 5.194 5.206 7.155 Å, 90.00 90.00 90.00°
Space group Cmmm (No. 65)
One atom of each set of equivalent atoms:
Be: 0.000 0.000 0.000 x2
Pb: 0.000 0.500 0.240 x4
Se: 0.000 0.000 0.500 x2

Summary:
E_tot = -3.291 eV/atom
D(E_F) = 0.5264 states/eV per atom
Formation energy without anion corrections = 0.37 eV/atom
Energy relative to the lowest polymorph listed for this composition = 363.2 meV per atom